A plane-wave DFT calculation with PBE-GGA was carried out for a geometry-optimized Cs3NdEr2S6 structure.

DOS(E_F) in states/eV/cell: 0.0
Total DFT energy (no corrections) in eV per atom: -5.25

Cell: 7.1572 7.1572 8.4170 Å, 98.15 98.15 120.00°
Fractional coordinates of all 12 atoms:
1 S 0.0608 0.4046 0.1824
2 S 0.4046 0.0608 0.1824
3 S 0.5954 0.9392 0.8176
4 S 0.7168 0.7168 0.1817
5 S 0.2832 0.2832 0.8183
6 S 0.9392 0.5954 0.8176
7 Nd 0.0000 0.0000 0.0000
8 Cs 0.8348 0.1652 0.5000
9 Cs 0.5000 0.5000 0.5000
10 Cs 0.1652 0.8348 0.5000
11 Er 0.6667 0.3333 0.0000
12 Er 0.3333 0.6667 0.0000